1.
MgHgSe2Br | PBEsol | relaxed

Results
Formation energy without anion corrections, eV/atom: -0.05

Unit cell a=4.9610 b=5.1123 c=5.1123 alpha=90.00 beta=90.00 gamma=90.00
Closest atoms and distances in Å follow each position.
Element x y z (fractional)
1 Mg 0.0000 0.0000 0.0000  2 Br 2.48, 4 Se 2.56
2 Se 0.0000 0.0000 0.5000  2 Mg 2.56
3 Se 0.0000 0.5000 0.0000  2 Mg 2.56
4 Hg 0.5000 0.5000 0.5000  8 Se 3.56, 4 Br 3.61
5 Br 0.5000 0.0000 0.0000  2 Mg 2.48


2.
Mn2HgBr | PBEsol | relaxed

Results
E above lowest polymorph, meV per atom: 494
Formation energy without anion corrections, eV/atom: 0.94

Unit cell a=4.6945 b=4.6945 c=4.6945 alpha=60.00 beta=60.00 gamma=60.00
Closest atoms and distances in Å follow each position.
Element x y z (fractional)
1 Br 0.5000 0.5000 0.5000  4 Mn 2.87, 4 Hg 2.87
2 Hg 0.2500 0.2500 0.2500  4 Br 2.87, 4 Mn 2.87
3 Mn 0.0000 0.0000 0.0000  4 Hg 2.87, 4 Mn 2.87
4 Mn 0.7500 0.7500 0.7500  4 Br 2.87, 4 Mn 2.87


3.
MnHg3Br | PBEsol | relaxed

Results
Formation energy without anion corrections, eV/atom: 0.28

Unit cell a=5.1918 b=5.1918 c=5.1918 alpha=90.00 beta=90.00 gamma=90.00
Closest atoms and distances in Å follow each position.
Element x y z (fractional)
1 Mn 0.0000 0.0000 0.0000  6 Hg 2.60
2 Hg 0.0000 0.5000 0.0000  2 Mn 2.60
3 Hg 0.0000 0.0000 0.5000  2 Mn 2.60
4 Hg 0.5000 0.0000 0.0000  2 Mn 2.60
5 Br 0.5000 0.5000 0.5000  12 Hg 3.67


4.
Mn2HgBr | PBEsol | relaxed

Results
E above lowest polymorph, meV per atom: 0
Formation energy without anion corrections, eV/atom: 0.44

Unit cell a=3.1620 b=4.8782 c=4.8782 alpha=90.00 beta=90.00 gamma=90.00
Closest atoms and distances in Å follow each position.
Element x y z (fractional)
1 Br 0.3439 0.5000 0.5000  4 Mn 2.48
2 Hg 0.7295 0.0000 0.0000  8 Mn 2.87-2.95, 2 Hg 3.16
3 Mn 0.2056 0.0000 0.5000  2 Br 2.48
4 Mn 0.2056 0.5000 0.0000  2 Br 2.48


5.
MnHgSe2Br | PBEsol | relaxed

Results
Formation energy without anion corrections, eV/atom: 0.71

Unit cell a=5.1591 b=5.1591 c=5.2803 alpha=90.00 beta=90.00 gamma=90.00
Closest atoms and distances in Å follow each position.
Element x y z (fractional)
1 Mn 0.5000 0.5000 0.5000  4 Br 3.65, 8 Se 3.69
2 Se 0.0000 0.5000 0.0000  2 Hg 2.58
3 Se 0.5000 0.0000 0.0000  2 Hg 2.58
4 Hg 0.0000 0.0000 0.0000  4 Se 2.58, 2 Br 2.64
5 Br 0.0000 0.0000 0.5000  2 Hg 2.64


6.
Hg3MoBr | PBEsol | relaxed

Results
Formation energy without anion corrections, eV/atom: 0.76

Unit cell a=5.4194 b=5.4194 c=5.4194 alpha=90.00 beta=90.00 gamma=90.00
Closest atoms and distances in Å follow each position.
Element x y z (fractional)
1 Mo 0.0000 0.0000 0.0000  6 Hg 2.71
2 Hg 0.0000 0.5000 0.0000  2 Mo 2.71
3 Hg 0.0000 0.0000 0.5000  2 Mo 2.71
4 Hg 0.5000 0.0000 0.0000  2 Mo 2.71
5 Br 0.5000 0.5000 0.5000  12 Hg 3.83


7.
HgMo2Br | PBEsol | relaxed

Results
E above lowest polymorph, meV per atom: 607
Formation energy without anion corrections, eV/atom: 0.97

Unit cell a=4.5531 b=4.5531 c=4.5515 alpha=120.01 beta=120.01 gamma=90.00
Closest atoms and distances in Å follow each position.
Element x y z (fractional)
1 Mo 0.7500 0.2500 0.5000  4 Hg 2.79, 4 Br 2.79
2 Mo 0.2500 0.7500 0.5000  4 Hg 2.79, 4 Br 2.79
3 Hg 0.0000 0.0000 0.0000  8 Mo 2.79
4 Br 0.5000 0.5000 0.0000  8 Mo 2.79


8.
HgMo2Br | PBEsol | relaxed

Results
E above lowest polymorph, meV per atom: 0
Formation energy without anion corrections, eV/atom: 0.36

Unit cell a=3.1545 b=3.1545 c=7.8904 alpha=90.00 beta=90.00 gamma=90.00
Closest atoms and distances in Å follow each position.
Element x y z (fractional)
1 Mo 0.0000 0.0000 0.0457  4 Mo 2.59
2 Mo 0.5000 0.5000 0.2126  4 Mo 2.59, 4 Br 2.88
3 Hg 0.5000 0.5000 0.7989  5 Mo 2.96-3.26, 4 Hg 3.15
4 Br 0.0000 0.0000 0.4429  5 Mo 2.88-3.13, 4 Br 3.15


9.
Hg2MoBr | PBEsol | relaxed

Results
Formation energy without anion corrections, eV/atom: 0.74

Unit cell a=4.0230 b=4.0230 c=5.9803 alpha=109.66 beta=109.66 gamma=90.00
Closest atoms and distances in Å follow each position.
Element x y z (fractional)
1 Mo 0.5000 0.5000 0.0000  4 Br 2.84
2 Hg 0.7500 0.2500 0.5000  4 Hg 2.84
3 Hg 0.2500 0.7500 0.5000  4 Hg 2.84
4 Br 0.0000 0.0000 0.0000  4 Mo 2.84


10.
HgMo2Br | PBEsol | relaxed

Results
E above lowest polymorph, meV per atom: 317
Formation energy without anion corrections, eV/atom: 0.68

Unit cell a=3.4120 b=4.8087 c=5.2896 alpha=90.00 beta=95.11 gamma=90.00
Closest atoms and distances in Å follow each position.
Element x y z (fractional)
1 Mo 0.6879 0.0000 0.8411  1 Mo 2.20
2 Mo 0.3121 0.0000 0.1589  1 Mo 2.20
3 Hg 0.0000 0.5000 0.0000  4 Mo 2.73, 2 Br 3.02
4 Br 0.5000 0.5000 0.5000  4 Hg 3.02-3.27, 4 Mo 3.04


11.
HgBrN2 | PBEsol | relaxed

Results
Formation energy without anion corrections, eV/atom: 1.39

Unit cell a=3.4751 b=3.4751 c=6.4060 alpha=74.26 beta=74.26 gamma=60.00
Closest atoms and distances in Å follow each position.
Element x y z (fractional)
1 Hg 0.5000 0.5000 0.5000  6 N 2.26
2 Br 0.0000 0.0000 0.0000  2 N 2.01
3 N 0.8898 0.8898 0.3305  1 Br 2.01
4 N 0.1102 0.1102 0.6695  1 Br 2.01


12.
Hg2BrN | PBEsol | relaxed

Results
Formation energy without anion corrections, eV/atom: 1.28

Unit cell a=4.9554 b=4.9554 c=4.9554 alpha=60.00 beta=60.00 gamma=60.00
Closest atoms and distances in Å follow each position.
Element x y z (fractional)
1 Hg 0.2500 0.2500 0.2500  4 Br 3.03, 4 N 3.03
2 Hg 0.7500 0.7500 0.7500  4 N 3.03, 4 Br 3.03
3 Br 0.5000 0.5000 0.5000  8 Hg 3.03
4 N 0.0000 0.0000 0.0000  8 Hg 3.03


13.
HgBr2N | PBEsol | relaxed

Results
Formation energy without anion corrections, eV/atom: 0.74

Unit cell a=6.7311 b=6.7311 c=6.7311 alpha=60.00 beta=60.00 gamma=60.00
Closest atoms and distances in Å follow each position.
Element x y z (fractional)
1 Hg 0.7500 0.7500 0.7500  12 Br 3.95, 4 Hg 4.12, 4 N 4.12
2 Hg 0.5000 0.5000 0.5000  12 Br 3.95, 4 Hg 4.12, 4 N 4.12
3 Br 0.1250 0.1250 0.6250  2 N 2.06
4 Br 0.1250 0.1250 0.1250  2 N 2.06
5 Br 0.6250 0.1250 0.1250  2 N 2.06
6 Br 0.1250 0.6250 0.1250  2 N 2.06
7 N 0.2500 0.2500 0.2500  4 Br 2.06
8 N 0.0000 0.0000 0.0000  4 Br 2.06


14.
NaHg2Br | PBEsol | relaxed

Results
Formation energy without anion corrections, eV/atom: -0.36

Unit cell a=5.4256 b=5.4256 c=5.4256 alpha=60.00 beta=60.00 gamma=60.00
Closest atoms and distances in Å follow each position.
Element x y z (fractional)
1 Na 0.0000 0.0000 0.0000  8 Hg 3.32
2 Hg 0.2500 0.2500 0.2500  4 Br 3.32, 4 Na 3.32
3 Hg 0.7500 0.7500 0.7500  4 Na 3.32, 4 Br 3.32
4 Br 0.5000 0.5000 0.5000  8 Hg 3.32


15.
Nb3HgBr | PBEsol | relaxed

Results
Formation energy without anion corrections, eV/atom: 1.04

Unit cell a=4.7068 b=4.7068 c=4.7068 alpha=90.00 beta=90.00 gamma=90.00
Closest atoms and distances in Å follow each position.
Element x y z (fractional)
1 Nb 0.0000 0.5000 0.0000  2 Br 2.35
2 Nb 0.0000 0.0000 0.5000  2 Br 2.35
3 Nb 0.5000 0.0000 0.0000  2 Br 2.35
4 Hg 0.5000 0.5000 0.5000  12 Nb 3.33
5 Br 0.0000 0.0000 0.0000  6 Nb 2.35